No. 1
Y2FeTcC6 (PBE-GGA, relaxed); total magnetization = 1.467 μB/f.u.; calculated volume = 12.4 Å³ per atom; VASP energy = -8.44 eV/atom
1.0
-1.488 4.877 1.552
-1.206 3.383 -3.938
-3.613 -4.436 1.022
C Fe Tc Y
6 1 1 2
direct
0.775 0.238 0.270 C
0.238 0.775 0.270 C
0.019 0.019 0.344 C
0.981 0.981 0.656 C
0.762 0.225 0.730 C
0.225 0.762 0.730 C
0.000 0.000 0.000 Fe
0.500 0.500 0.500 Tc
0.707 0.707 0.182 Y
0.293 0.293 0.818 Y

=====

No. 2
LiHg2Au (PBE-GGA, relaxed); calculated volume = 19.8 Å³ per atom; VASP energy = -1.64 eV/atom
1.0
-0.426 -3.916 2.778
-3.042 0.017 3.738
-4.029 -2.641 -0.160
Au Hg Li
1 2 1
direct
0.250 0.250 0.250 Au
0.000 0.000 0.000 Hg
0.750 0.750 0.750 Hg
0.500 0.500 0.500 Li

=====

No. 3
ZrBeBIr (PBE-GGA, relaxed); energy relative to the lowest polymorph listed for this composition = 41.6 kJ/mol of atoms; total magnetization = 0.003 μB/f.u.; calculated volume = 13.2 Å³ per atom
1.0
-0.715 -1.625 3.814
-3.773 -1.616 0.925
-0.452 -4.157 0.465
B Be Ir Zr
1 1 1 1
direct
0.500 0.500 0.500 B
0.750 0.750 0.750 Be
0.250 0.250 0.250 Ir
0.000 0.000 0.000 Zr

=====

No. 4
Na2NiAgH6 (PBE-GGA, relaxed); total magnetization = 0.000 μB/f.u.; calculated volume = 9.1 Å³ per atom; VASP energy = -3.23 eV/atom
1.0
3.136 -3.945 -0.269
-0.848 -4.095 2.825
-1.526 -4.292 -2.172
Ag H Na Ni
1 6 2 1
direct
0.500 0.500 0.500 Ag
0.776 0.224 0.224 H
0.224 0.776 0.224 H
0.776 0.776 0.224 H
0.224 0.224 0.776 H
0.776 0.224 0.776 H
0.224 0.776 0.776 H
0.250 0.250 0.250 Na
0.750 0.750 0.750 Na
0.000 0.000 0.000 Ni

=====

No. 5
MgScPdPt (PBE-GGA, relaxed); energy relative to the lowest polymorph listed for this composition = 32.3 kJ/mol of atoms; total magnetization = 0.007 μB/f.u.; calculated volume = 17.3 Å³ per atom
1.0
0.000 3.258 3.258
3.258 0.000 3.258
3.258 3.258 0.000
Mg Pd Pt Sc
1 1 1 1
direct
0.750 0.750 0.750 Mg
0.500 0.500 0.500 Pd
0.250 0.250 0.250 Pt
0.000 0.000 0.000 Sc

=====

No. 6
ZnRe2Ag (PBE-GGA, relaxed); total magnetization = 0.002 μB/f.u.; calculated volume = 15.2 Å³ per atom; calculated formation energy = 524 meV per atom
1.0
4.139 0.274 1.520
1.068 3.109 2.952
0.900 -1.133 4.175
Ag Re Zn
1 2 1
direct
0.250 0.250 0.250 Ag
0.500 0.500 0.500 Re
0.750 0.750 0.750 Re
0.000 0.000 0.000 Zn

=====

No. 7
RbPrGe (PBE-GGA, relaxed); energy relative to the lowest polymorph listed for this composition = 0.0 kJ/mol of atoms; total magnetization = 0.000 μB/f.u.; calculated volume = 37.4 Å³ per atom
1.0
0.000 3.828 3.828
3.828 0.000 3.828
3.828 3.828 0.000
Ge Pr Rb
1 1 1
direct
0.000 0.000 0.000 Ge
0.250 0.250 0.250 Pr
0.750 0.750 0.750 Rb

=====

No. 8
Pm5Ag2Ir2 (PBE-GGA, relaxed); total magnetization = 0.010 μB/f.u.; calculated volume = 26.4 Å³ per atom; calculated formation energy = -485 meV per atom
1.0
-7.508 2.147 -3.889
-3.738 -3.893 -6.854
-3.901 -4.824 4.868
Ag Ir Pm
4 4 10
direct
0.289 0.289 0.000 Ag
0.711 0.711 0.000 Ag
0.211 0.211 0.500 Ag
0.789 0.789 0.500 Ag
0.867 0.133 0.132 Ir
0.367 0.633 0.368 Ir
0.633 0.367 0.632 Ir
0.133 0.867 0.868 Ir
0.500 0.500 0.000 Pm
0.045 0.708 0.170 Pm
0.292 0.955 0.170 Pm
0.545 0.208 0.330 Pm
0.792 0.455 0.330 Pm
0.000 0.000 0.500 Pm
0.208 0.545 0.670 Pm
0.455 0.792 0.670 Pm
0.708 0.045 0.830 Pm
0.955 0.292 0.830 Pm

=====

No. 9
NaCo (PBE-GGA, relaxed); total magnetization = 0.724 μB/f.u.; calculated volume = 30.6 Å³ per atom; VASP energy = -2.11 eV/atom
1.0
-2.207 -3.751 0.785
-0.916 -1.198 4.157
-4.165 0.153 1.478
Co Na
1 1
direct
0.000 0.000 0.000 Co
0.250 0.250 0.250 Na

=====

No. 10
Ni3Ir2S2 (PBE-GGA, relaxed); total magnetization = 0.001 μB/f.u.; calculated volume = 13.7 Å³ per atom; VASP energy = -5.86 eV/atom
1.0
-3.629 3.629 3.629
3.629 -3.629 3.629
3.629 3.629 -3.629
Ir Ni S
4 6 4
direct
0.580 0.500 0.000 Ir
0.000 0.580 0.500 Ir
0.500 0.000 0.580 Ir
0.920 0.920 0.920 Ir
0.257 0.750 0.007 Ni
0.250 0.493 0.243 Ni
0.493 0.243 0.250 Ni
0.750 0.007 0.257 Ni
0.243 0.250 0.493 Ni
0.007 0.257 0.750 Ni
0.929 0.500 0.000 S
0.000 0.929 0.500 S
0.571 0.571 0.571 S
0.500 0.000 0.929 S

=====

No. 11
SrNiAs2Ir (PBE-GGA, relaxed); total magnetization = 0.002 μB/f.u.; calculated volume = 19.8 Å³ per atom; VASP energy = -5.67 eV/atom
1.0
-2.059 2.059 5.848
2.059 -2.059 5.848
2.059 2.059 -5.848
As Ir Ni Sr
2 1 1 1
direct
0.613 0.113 0.500 As
0.887 0.387 0.500 As
0.000 0.000 0.000 Ir
0.500 0.500 0.000 Ni
0.250 0.750 0.500 Sr

=====

No. 12
Nb2IrPt (PBE-GGA, relaxed); total magnetization = 0.038 μB/f.u.; calculated volume = 16.4 Å³ per atom; calculated formation energy = -292 meV per atom
1.0
0.000 3.202 3.202
3.202 0.000 3.202
3.202 3.202 0.000
Ir Nb Pt
1 2 1
direct
0.250 0.250 0.250 Ir
0.000 0.000 0.000 Nb
0.750 0.750 0.750 Nb
0.500 0.500 0.500 Pt